No. 1
VASP calculation (PBE) on crystalline CaMn at its relaxed geometry.

a b c (Å): 6.0490 6.0490 6.0229
angles (deg): 90.00 90.00 90.00
Space group P4_2/mnm (No. 136)
Unique sites:
Ca: 0.1879 0.1879 0.0000 x4
Mn: 0.1522 0.1522 0.5000 x4

E_tot in eV/atom: -4.834
ΔH_f (0 K) in eV/atom: 0.752


No. 2
VASP calculation (PBE) on crystalline CaMn3 at its relaxed geometry.

a b c (Å): 3.1522 4.8796 9.1949
angles (deg): 90.00 90.00 90.00
Space group Immm (No. 71)
Unique sites:
Ca: 0.0000 0.0000 0.0000 x2
Mn: 0.0000 0.0000 0.5000 x2
Mn: 0.0000 0.5000 0.2104 x4

E_tot in eV/atom: -6.773
ΔH_f (0 K) in eV/atom: 0.605


No. 3
VASP calculation (PBE) on crystalline Ca3Mn4 at its relaxed geometry.

a b c (Å): 3.4420 3.4420 28.1918
angles (deg): 90.00 90.00 90.00
Space group I4/mmm (No. 139)
Unique sites:
Ca: 0.0000 0.0000 0.0000 x2
Ca: 0.0000 0.0000 0.3074 x4
Mn: 0.0000 0.0000 0.1198 x4
Mn: 0.0000 0.0000 0.4237 x4

E_tot in eV/atom: -5.591
ΔH_f (0 K) in eV/atom: 0.507


No. 4
VASP calculation (PBE) on crystalline Ca3Mn at its relaxed geometry.

a b c (Å): 6.4431 6.4431 6.4431
angles (deg): 90.00 90.00 90.00
Space group Pm-3n (No. 223)
Unique sites:
Ca: 0.0000 0.2500 0.5000 x6
Mn: 0.0000 0.0000 0.0000 x2

E_tot in eV/atom: -3.400
ΔH_f (0 K) in eV/atom: 0.393


No. 5
VASP calculation (PBE) on crystalline CaMn at its relaxed geometry.

a b c (Å): 3.4969 3.4969 14.8692
angles (deg): 90.00 90.00 120.00
Space group R-3m (No. 166, hexagonal axes)
Unique sites:
Ca: 0.0000 0.0000 0.0000 x3
Mn: 0.0000 0.0000 0.5000 x3

E_tot in eV/atom: -4.852
ΔH_f (0 K) in eV/atom: 0.733


No. 6
VASP calculation (PBE) on crystalline Ca4Mn at its relaxed geometry.

a b c (Å): 5.6814 5.6814 5.6814
angles (deg): 90.00 90.00 90.00
Space group Pm-3m (No. 221)
Unique sites:
Ca: 0.0000 0.0000 0.0000 x1
Ca: 0.0000 0.5000 0.5000 x3
Mn: 0.5000 0.5000 0.5000 x1

Energy relative to the lowest polymorph listed for this composition in meV per atom: 0
E_tot in eV/atom: -3.100
ΔH_f (0 K) in eV/atom: 0.336


No. 7
VASP calculation (PBE) on crystalline CaMn at its relaxed geometry.

a b c (Å): 5.1595 5.1595 12.6003
angles (deg): 90.00 90.00 120.00
Space group R-3m (No. 166, hexagonal axes)
Unique sites:
Ca: 0.0000 0.0000 0.1251 x6
Mn: 0.0000 0.0000 0.3753 x6

E_tot in eV/atom: -4.991
ΔH_f (0 K) in eV/atom: 0.595


No. 8
VASP calculation (PBE) on crystalline Ca2Mn at its relaxed geometry.

a b c (Å): 3.6524 5.9527 8.7942
angles (deg): 90.00 90.00 90.00
Space group Immm (No. 71)
Unique sites:
Ca: 0.0000 0.0000 0.1967 x4
Mn: 0.0000 0.5000 0.0000 x2

E_tot in eV/atom: -3.869
ΔH_f (0 K) in eV/atom: 0.522


no.,Fermi-level density of states (states/eV per cell),total moment (μB per cell)
1,8.3,14.45
2,10.2,8.08
3,16.6,30.25
4,9.2,8.23
5,8.7,11.25
6,6.1,2.04
7,16.6,23.30
8,6.7,7.59